1.
This record from Alexandria describes an optimized crystal structure of TiTl2Rh. The functional is PBE-GGA.

The calculation puts the energy above the most stable polymorph in this dataset at 207 meV/atom. The formation energy comes out at 0.354 eV/atom.

It has space group I-42d (No. 122), with a = 7.6401 Å, b = 7.6401 Å, c = 5.8233 Å, α = 90.00°, β = 90.00° and γ = 90.00°. The asymmetric unit holds Ti at (0.0000, 0.0000, 0.0000), Tl at (0.2355, 0.7500, 0.6250) and Rh at (0.0000, 0.0000, 0.5000).

=====

2.
This record from Alexandria describes an optimized crystal structure of CoHg2As. The functional is PBE-GGA.

The formation energy comes out at 0.149 eV/atom.

It has space group I4_1/amd (No. 141, origin choice 2), with a = 10.0865 Å, b = 10.0865 Å, c = 4.3252 Å, α = 90.00°, β = 90.00° and γ = 90.00°. The asymmetric unit holds Co at (0.0000, 0.2500, 0.3750), Hg at (0.0000, 0.0000, 0.5000) and As at (0.0000, 0.2500, 0.8750).

=====

3.
This record from Alexandria describes an optimized crystal structure of Tm4PdSe3. The functional is PBE-GGA.

For the final energy, the calculation gives -5.656 eV per atom.

It has space group Cmmm (No. 65), with a = 8.2542 Å, b = 11.4981 Å, c = 3.9504 Å, α = 90.00°, β = 90.00° and γ = 90.00°. The asymmetric unit holds Tm at (0.0000, 0.2458, 0.0000), Tm at (0.2350, 0.0000, 0.5000), Pd at (0.0000, 0.0000, 0.0000), Se at (0.0000, 0.5000, 0.0000) and Se at (0.2500, 0.2500, 0.5000).